DFT (GGA-PBE) results for an optimized crystal structure of ZrNbAu.

Lattice parameters (Å, degrees): 4.898 4.898 2.826 90.00 90.00 120.00
Sites, in units of the cell vectors:
Zr 0.000 0.000 0.000
Nb 0.333 0.667 0.500
Au 0.667 0.333 0.500

Output
For the formation enthalpy at 0 K, the calculation gives 1.6 kJ per mole of atoms. The crystal system is hexagonal. For the energy above the most stable polymorph in this dataset, the calculation gives 0.362 eV per atom. Its space group is P-6m2, No. 187.



DFT (GGA-PBE) results for an optimized crystal structure of LaCe2Y6Ho3.

Lattice parameters (Å, degrees): 9.472 9.472 9.472 149.04 115.70 73.07
Sites, in units of the cell vectors:
La 0.000 0.000 0.000
Ce 0.333 0.333 0.000
Ce 0.667 0.667 0.000
Y 0.085 0.832 0.253
Y 0.256 0.500 0.756
Y 0.421 0.168 0.253
Y 0.579 0.832 0.747
Y 0.744 0.500 0.244
Y 0.915 0.168 0.747
Ho 0.169 0.669 0.500
Ho 0.500 0.000 0.500
Ho 0.831 0.331 0.500

Output
For the formation enthalpy at 0 K, the calculation gives 6.7 kJ per mole of atoms. The crystal system is orthorhombic. Its space group is Immm, No. 71.



DFT (GGA-PBE) results for an optimized crystal structure of Nd4Te2RhBr.

Lattice parameters (Å, degrees): 7.669 4.249 7.770 90.00 108.21 90.00
Sites, in units of the cell vectors:
Nd 0.212 0.000 0.213
Nd 0.236 0.500 0.763
Nd 0.764 0.500 0.237
Nd 0.788 0.000 0.787
Te 0.000 0.000 0.500
Te 0.500 0.500 0.500
Rh 0.000 0.500 0.000
Br 0.500 0.000 0.000

Output
The crystal system is monoclinic. Its space group is P2/m, No. 10. Its uncorrected formation energy is -1171 meV per atom.



DFT (GGA-PBE) results for an optimized crystal structure of KNa2GaGe.

Lattice parameters (Å, degrees): 5.696 5.696 5.248 90.00 90.00 90.00
Sites, in units of the cell vectors:
K 0.000 0.000 0.000
Na 0.000 0.500 0.500
Na 0.500 0.000 0.500
Ga 0.500 0.500 0.000
Ge 0.500 0.500 0.500

Output
For the formation enthalpy at 0 K, the calculation gives 1.7 kJ per mole of atoms. The crystal system is tetragonal. For the energy above the most stable polymorph in this dataset, the calculation gives 0.000 eV per atom. Its space group is P4/mmm, No. 123.



DFT (GGA-PBE) results for an optimized crystal structure of K3Tl4Pt4.

Lattice parameters (Å, degrees): 7.345 7.345 7.345 109.47 109.47 109.47
Sites, in units of the cell vectors:
K 0.000 0.500 0.500
K 0.500 0.000 0.500
K 0.500 0.500 0.000
Tl 0.000 0.000 0.599
Tl 0.000 0.599 0.000
Tl 0.401 0.401 0.401
Tl 0.599 0.000 0.000
Pt 0.000 0.000 0.237
Pt 0.000 0.237 0.000
Pt 0.237 0.000 0.000
Pt 0.763 0.763 0.763

Output
For the formation enthalpy at 0 K, the calculation gives -20.1 kJ per mole of atoms. The crystal system is cubic. Its space group is I-43m, No. 217.



DFT (GGA-PBE) results for an optimized crystal structure of Sm2YSc8.

Lattice parameters (Å, degrees): 8.930 8.930 5.528 106.91 106.91 121.68
Sites, in units of the cell vectors:
Sm 0.192 0.808 0.000
Sm 0.808 0.192 0.000
Y 0.500 0.500 0.500
Sc 0.042 0.042 0.281
Sc 0.162 0.405 0.803
Sc 0.296 0.704 0.500
Sc 0.405 0.162 0.803
Sc 0.595 0.838 0.197
Sc 0.704 0.296 0.500
Sc 0.838 0.595 0.197
Sc 0.958 0.958 0.719

Output
For the formation enthalpy at 0 K, the calculation gives 14.3 kJ per mole of atoms. The crystal system is monoclinic. Its space group is C2/m, No. 12.



DFT (GGA-PBE) results for an optimized crystal structure of Ca2AlCu.

Lattice parameters (Å, degrees): 5.295 5.295 3.479 90.00 90.00 90.00
Sites, in units of the cell vectors:
Ca 0.000 0.500 0.000
Ca 0.500 0.000 0.000
Al 0.000 0.000 0.500
Cu 0.500 0.500 0.500

Output
For the formation enthalpy at 0 K, the calculation gives -8.6 kJ per mole of atoms. The crystal system is tetragonal. Its space group is P4/mmm, No. 123.



DFT (GGA-PBE) results for an optimized crystal structure of LaTbHgRu.

Lattice parameters (Å, degrees): 3.547 3.547 7.796 90.00 90.00 90.00
Sites, in units of the cell vectors:
La 0.000 0.000 0.000
Tb 0.000 0.000 0.561
Hg 0.500 0.500 0.302
Ru 0.500 0.500 0.768

Output
For the formation enthalpy at 0 K, the calculation gives -37.7 kJ per mole of atoms. The crystal system is tetragonal. For the energy above the most stable polymorph in this dataset, the calculation gives 0.000 eV per atom. Its space group is P4mm, No. 99.



DFT (GGA-PBE) results for an optimized crystal structure of Li2NiOs.

Lattice parameters (Å, degrees): 4.933 8.538 2.455 90.00 90.00 90.00
Sites, in units of the cell vectors:
Li 0.250 0.250 0.000
Li 0.250 0.750 0.000
Li 0.750 0.250 0.000
Li 0.750 0.750 0.000
Ni 0.000 0.000 0.500
Ni 0.500 0.500 0.500
Os 0.000 0.500 0.500
Os 0.500 0.000 0.500

Output
For the formation enthalpy at 0 K, the calculation gives 21.8 kJ per mole of atoms. The crystal system is orthorhombic. For the energy above the most stable polymorph in this dataset, the calculation gives 0.177 eV per atom. Its space group is Cmmm, No. 65.



DFT (GGA-PBE) results for an optimized crystal structure of LiYBe2.

Lattice parameters (Å, degrees): 3.954 3.468 10.160 90.00 90.00 90.00
Sites, in units of the cell vectors:
Li 0.000 0.000 0.000
Li 0.000 0.500 0.500
Y 0.500 0.000 0.708
Y 0.500 0.500 0.208
Be 0.000 0.000 0.328
Be 0.000 0.500 0.828
Be 0.500 0.000 0.415
Be 0.500 0.500 0.915

Output
For the formation enthalpy at 0 K, the calculation gives 20.8 kJ per mole of atoms. The crystal system is orthorhombic. For the energy above the most stable polymorph in this dataset, the calculation gives 0.071 eV per atom. Its space group is Amm2, No. 38.



DFT (GGA-PBE) results for an optimized crystal structure of RbUP2O8.

Lattice parameters (Å, degrees): 5.493 5.493 8.625 90.00 90.00 120.00
Sites, in units of the cell vectors:
Rb 0.000 0.000 0.000
U 0.000 0.000 0.500
P 0.333 0.667 0.280
P 0.667 0.333 0.720
O 0.181 0.362 0.352
O 0.181 0.819 0.352
O 0.333 0.667 0.107
O 0.362 0.181 0.648
O 0.638 0.819 0.352
O 0.667 0.333 0.893
O 0.819 0.181 0.648
O 0.819 0.638 0.648

Output
The crystal system is trigonal. Its space group is P-3m1, No. 164. Its uncorrected formation energy is -2573 meV per atom.



DFT (GGA-PBE) results for an optimized crystal structure of CsKAg2.

Lattice parameters (Å, degrees): 5.039 5.039 26.588 90.00 90.00 120.00
Sites, in units of the cell vectors:
Cs 0.000 0.000 0.000
Cs 0.333 0.667 0.667
Cs 0.667 0.333 0.333
K 0.000 0.000 0.169
K 0.333 0.667 0.836
K 0.667 0.333 0.503
Ag 0.000 0.000 0.577
Ag 0.000 0.000 0.760
Ag 0.333 0.667 0.244
Ag 0.333 0.667 0.426
Ag 0.667 0.333 0.093
Ag 0.667 0.333 0.910

Output
For the formation enthalpy at 0 K, the calculation gives 13.2 kJ per mole of atoms. The crystal system is trigonal. For the energy above the most stable polymorph in this dataset, the calculation gives 0.127 eV per atom. Its space group is R3m, No. 160.



DFT (GGA-PBE) results for an optimized crystal structure of LiPuSi2.

Lattice parameters (Å, degrees): 3.215 3.215 6.514 90.00 90.00 90.00
Sites, in units of the cell vectors:
Li 0.000 0.000 0.000
Pu 0.000 0.000 0.500
Si 0.500 0.500 0.193
Si 0.500 0.500 0.807

Output
The crystal system is tetragonal. For the energy above the most stable polymorph in this dataset, the calculation gives 0.144 eV per atom. Its space group is P4/mmm, No. 123. Its uncorrected formation energy is -218 meV per atom.



DFT (GGA-PBE) results for an optimized crystal structure of CeNiHgPb.

Lattice parameters (Å, degrees): 7.145 7.145 7.145 90.00 90.00 90.00
Sites, in units of the cell vectors:
Ce 0.000 0.000 0.000
Ce 0.000 0.500 0.500
Ce 0.500 0.000 0.500
Ce 0.500 0.500 0.000
Ni 0.250 0.250 0.250
Ni 0.250 0.750 0.750
Ni 0.750 0.250 0.750
Ni 0.750 0.750 0.250
Hg 0.250 0.250 0.750
Hg 0.250 0.750 0.250
Hg 0.750 0.250 0.250
Hg 0.750 0.750 0.750
Pb 0.000 0.000 0.500
Pb 0.000 0.500 0.000
Pb 0.500 0.000 0.000
Pb 0.500 0.500 0.500

Output
For the formation enthalpy at 0 K, the calculation gives -13.7 kJ per mole of atoms. The crystal system is cubic. Its space group is F-43m, No. 216.



DFT (GGA-PBE) results for an optimized crystal structure of Pm2ErTi.

Lattice parameters (Å, degrees): 3.911 3.911 7.440 90.00 90.00 90.00
Sites, in units of the cell vectors:
Pm 0.000 0.000 0.217
Pm 0.000 0.000 0.783
Er 0.500 0.500 0.500
Ti 0.500 0.500 0.000

Output
For the formation enthalpy at 0 K, the calculation gives 21.9 kJ per mole of atoms. The crystal system is tetragonal. For the energy above the most stable polymorph in this dataset, the calculation gives 0.000 eV per atom. Its space group is P4/mmm, No. 123.



DFT (GGA-PBE) results for an optimized crystal structure of BiRhI2N.

Lattice parameters (Å, degrees): 6.246 6.246 4.199 90.00 90.00 90.00
Sites, in units of the cell vectors:
Bi 0.000 0.000 0.000
Rh 0.500 0.500 0.500
I 0.000 0.500 0.000
I 0.500 0.000 0.000
N 0.000 0.000 0.500

Output
The crystal system is tetragonal. For the energy above the most stable polymorph in this dataset, the calculation gives 0.890 eV per atom. Its space group is P4/mmm, No. 123. Its uncorrected formation energy is 1315 meV per atom.



DFT (GGA-PBE) results for an optimized crystal structure of ZrTaTi2N.

Lattice parameters (Å, degrees): 4.169 4.169 4.546 90.00 90.00 90.00
Sites, in units of the cell vectors:
Zr 0.000 0.000 0.000
Ta 0.500 0.500 0.000
Ti 0.000 0.500 0.500
Ti 0.500 0.000 0.500
N 0.000 0.000 0.500

Output
The crystal system is tetragonal. For the energy above the most stable polymorph in this dataset, the calculation gives 0.000 eV per atom. Its space group is P4/mmm, No. 123. Its uncorrected formation energy is -669 meV per atom.



DFT (GGA-PBE) results for an optimized crystal structure of Nd6Er3Sc.

Lattice parameters (Å, degrees): 11.092 11.092 6.238 90.00 90.00 120.15
Sites, in units of the cell vectors:
Nd 0.044 0.956 0.500
Nd 0.057 0.481 0.923
Nd 0.276 0.724 0.228
Nd 0.289 0.378 0.114
Nd 0.378 0.289 0.614
Nd 0.481 0.057 0.423
Nd 0.519 0.943 0.923
Nd 0.622 0.711 0.114
Nd 0.711 0.622 0.614
Nd 0.724 0.276 0.728
Nd 0.943 0.519 0.423
Nd 0.956 0.044 0.000
Er 0.052 0.274 0.536
Er 0.274 0.052 0.036
Er 0.386 0.614 0.644
Er 0.614 0.386 0.144
Er 0.726 0.948 0.536
Er 0.948 0.726 0.036
Sc 0.201 0.799 0.696
Sc 0.799 0.201 0.196

Output
For the formation enthalpy at 0 K, the calculation gives 13.3 kJ per mole of atoms. The crystal system is orthorhombic. For the energy above the most stable polymorph in this dataset, the calculation gives 0.000 eV per atom. Its space group is Cmc2_1, No. 36.



DFT (GGA-PBE) results for an optimized crystal structure of CoSn3Br.

Lattice parameters (Å, degrees): 5.515 5.515 5.515 90.00 90.00 90.00
Sites, in units of the cell vectors:
Co 0.000 0.000 0.000
Sn 0.000 0.500 0.500
Sn 0.500 0.000 0.500
Sn 0.500 0.500 0.000
Br 0.500 0.500 0.500

Output
The crystal system is cubic. For the energy above the most stable polymorph in this dataset, the calculation gives 1.325 eV per atom. Its space group is Pm-3m, No. 221. Its uncorrected formation energy is 1226 meV per atom.



DFT (GGA-PBE) results for an optimized crystal structure of YHoTlPd.

Lattice parameters (Å, degrees): 7.311 7.311 7.311 90.00 90.00 90.00
Sites, in units of the cell vectors:
Y 0.000 0.000 0.000
Y 0.000 0.500 0.500
Y 0.500 0.000 0.500
Y 0.500 0.500 0.000
Ho 0.000 0.000 0.500
Ho 0.000 0.500 0.000
Ho 0.500 0.000 0.000
Ho 0.500 0.500 0.500
Tl 0.250 0.250 0.750
Tl 0.250 0.750 0.250
Tl 0.750 0.250 0.250
Tl 0.750 0.750 0.750
Pd 0.250 0.250 0.250
Pd 0.250 0.750 0.750
Pd 0.750 0.250 0.750
Pd 0.750 0.750 0.250

Output
For the formation enthalpy at 0 K, the calculation gives -53.9 kJ per mole of atoms. The crystal system is cubic. Its space group is F-43m, No. 216.



| no. | electronic total energy (eV per cell) | magnetization (μB per atom) |
| --- | --- | --- |
| 1 | -21.8 | 0.000 |
| 2 | -68.5 | 0.187 |
| 3 | -43.7 | 0.000 |
| 4 | -11.3 | 0.000 |
| 5 | -39.2 | 0.000 |
| 6 | -64.9 | 0.000 |
| 7 | -12.2 | 0.000 |
| 8 | -20.7 | 0.000 |
| 9 | -39.9 | 0.122 |
| 10 | -29.9 | 0.000 |
| 11 | -93.6 | 0.083 |
| 12 | -21.3 | 0.000 |
| 13 | -28.0 | 1.392 |
| 14 | -65.2 | 0.091 |
| 15 | -21.1 | 0.006 |
| 16 | -16.1 | 0.446 |
| 17 | -47.9 | 0.000 |
| 18 | -94.5 | 0.000 |
| 19 | -14.7 | 0.415 |
| 20 | -83.3 | 0.000 |